# 1
VASP calculation (GGA-PBE) on a geometry-optimized Na2PmPbO4 structure.

a = 3.5568 Å, b = 6.0697 Å, c = 6.0384 Å
α = 109.53°, β = 90.00°, γ = 90.00°
With the nearest neighbours (Å) after each atom.
Atoms (fractional coordinates):
Na 0.5000 0.0000 0.5000  6 O 2.56-2.61
Na 0.0000 0.5000 0.5000  6 O 2.53-2.57
Pm 0.5000 0.5000 0.0000  6 O 2.38-2.39
Pb 0.0000 0.0000 0.0000  6 O 2.42-2.43
O 0.5000 0.2422 0.2258  1 Pm 2.39, 2 Pb 2.42, 3 Na 2.56-2.57
O 0.5000 0.7578 0.7742  1 Pm 2.39, 2 Pb 2.42, 3 Na 2.56-2.57
O 0.0000 0.2683 0.7790  2 Pm 2.38, 1 Pb 2.43, 3 Na 2.53-2.61
O 0.0000 0.7317 0.2210  2 Pm 2.38, 1 Pb 2.43, 3 Na 2.53-2.61

The uncorrected formation energy comes out at -1.888 eV/atom. As for the space group: P2/m (10). The volume is 15.36 Å³/atom.



# 2
VASP calculation (GGA-PBE) on a geometry-optimized Na3Pm2PbO6 structure.

a = 6.1270 Å, b = 6.1270 Å, c = 6.0337 Å
α = 99.77°, β = 99.77°, γ = 119.94°
With the nearest neighbours (Å) after each atom.
Atoms (fractional coordinates):
Na 0.1606 0.8394 0.5000  6 O 2.55-2.60
Na 0.8394 0.1606 0.5000  6 O 2.55-2.60
Na 0.5000 0.5000 0.5000  6 O 2.54-2.60
Pm 0.3331 0.6669 0.0000  6 O 2.38-2.39
Pm 0.6669 0.3331 0.0000  6 O 2.38-2.39
Pb 0.0000 0.0000 0.0000  6 O 2.44-2.45
O 0.9256 0.5857 0.7778  2 Pm 2.38, 1 Pb 2.44, 3 Na 2.59-2.60
O 0.7335 0.7335 0.2235  2 Pm 2.39, 1 Pb 2.45, 3 Na 2.54-2.55
O 0.0744 0.4143 0.2222  2 Pm 2.38, 1 Pb 2.44, 3 Na 2.59-2.60
O 0.5857 0.9256 0.7778  2 Pm 2.38, 1 Pb 2.44, 3 Na 2.59-2.60
O 0.2665 0.2665 0.7765  2 Pm 2.39, 1 Pb 2.45, 3 Na 2.54-2.55
O 0.4143 0.0744 0.2222  2 Pm 2.38, 1 Pb 2.44, 3 Na 2.59-2.60

The uncorrected formation energy comes out at -2.133 eV/atom. As for the space group: C2/m (12). The volume is 15.39 Å³/atom.



# 3
VASP calculation (GGA-PBE) on a geometry-optimized Na3Pr2PbO6 structure.

a = 6.2089 Å, b = 6.2089 Å, c = 6.0568 Å
α = 99.80°, β = 99.80°, γ = 119.96°
With the nearest neighbours (Å) after each atom.
Atoms (fractional coordinates):
Na 0.1577 0.8423 0.5000  6 O 2.54-2.66
Na 0.8423 0.1577 0.5000  6 O 2.54-2.66
Na 0.5000 0.5000 0.5000  6 O 2.58-2.60
Pr 0.3330 0.6670 0.0000  6 O 2.43
Pr 0.6670 0.3330 0.0000  6 O 2.43
Pb 0.0000 0.0000 0.0000  6 O 2.44-2.45
O 0.9252 0.5902 0.7757  2 Pr 2.43, 1 Pb 2.44, 3 Na 2.60-2.66
O 0.7380 0.7380 0.2252  2 Pr 2.43, 1 Pb 2.45, 3 Na 2.54-2.58
O 0.0748 0.4098 0.2243  2 Pr 2.43, 1 Pb 2.44, 3 Na 2.60-2.66
O 0.5902 0.9252 0.7757  2 Pr 2.43, 1 Pb 2.44, 3 Na 2.60-2.66
O 0.2620 0.2620 0.7748  2 Pr 2.43, 1 Pb 2.45, 3 Na 2.54-2.58
O 0.4098 0.0748 0.2243  2 Pr 2.43, 1 Pb 2.44, 3 Na 2.60-2.66

The uncorrected formation energy comes out at -2.076 eV/atom. As for the space group: C2/m (12). The volume is 15.85 Å³/atom.



# 4
VASP calculation (GGA-PBE) on a geometry-optimized NaPr2PbO6 structure.

a = 5.8293 Å, b = 6.1167 Å, c = 8.5648 Å
α = 90.00°, β = 87.31°, γ = 90.00°
With the nearest neighbours (Å) after each atom.
Atoms (fractional coordinates):
Na 0.5000 0.0000 0.0000  6 O 2.30-2.54
Na 0.0000 0.5000 0.5000  6 O 2.30-2.54
Pr 0.0318 0.9355 0.2590  5 O 2.36-2.52
Pr 0.5318 0.5645 0.7590  5 O 2.36-2.52
Pr 0.9682 0.0645 0.7410  5 O 2.36-2.52
Pr 0.4682 0.4355 0.2410  5 O 2.36-2.52
Pb 0.5000 0.0000 0.5000  6 O 2.16-2.23
Pb 0.0000 0.5000 0.0000  6 O 2.16-2.23
O 0.2970 0.6860 0.0617  1 Pb 2.16, 1 Na 2.30
O 0.7970 0.8140 0.5617  1 Pb 2.16, 1 Na 2.30
O 0.7030 0.3140 0.9383  1 Pb 2.16, 1 Na 2.30
O 0.2030 0.1860 0.4383  1 Pb 2.16, 1 Na 2.30
O 0.3135 0.7123 0.4070  1 Pb 2.23, 1 Na 2.35, 1 Pr 2.36
O 0.8135 0.7877 0.9070  1 Pb 2.23, 1 Na 2.35, 1 Pr 2.36
O 0.6865 0.2877 0.5930  1 Pb 2.23, 1 Na 2.35, 1 Pr 2.36
O 0.1865 0.2123 0.0930  1 Pb 2.23, 1 Na 2.35, 1 Pr 2.36
O 0.8485 0.5790 0.2320  1 Pb 2.19, 2 Pr 2.38-2.44
O 0.3485 0.9210 0.7320  1 Pb 2.19, 2 Pr 2.38-2.44
O 0.1515 0.4210 0.7680  1 Pb 2.19, 2 Pr 2.38-2.44
O 0.6515 0.0790 0.2680  1 Pb 2.19, 2 Pr 2.38-2.44

The uncorrected formation energy comes out at -2.067 eV/atom. As for the space group: P2_1/c (14). The volume is 15.25 Å³/atom.



no.,calculated total energy (eV/atom)
1,-5.754
2,-6.043
3,-5.991
4,-6.500